No. 1
An optimized crystal structure of HgSe2Br. Source: Alexandria, functional PBE.

Lattice parameters (Å, degrees): 6.488 6.488 6.488 147.35 112.44 77.07
Fractional coordinates of all 4 atoms:
Hg 0.000 0.000 0.000
Se 0.305 0.805 0.500
Se 0.467 0.467 0.000
Br 0.674 0.174 0.500

Results
The formation energy without anion corrections is 0.06 eV per atom. For the volume, the calculation gives 33.4 A^3/atom. The calculation puts the density of states at the Fermi level at 1.86 states/eV per cell. The energy above the most stable polymorph in this dataset is 142 meV/atom. The symmetry is Imm2. As for the total DFT energy (no corrections): -8.706 eV/cell. The total magnetic moment comes out at 0.00 μB per atom.

=====

No. 2
An optimized crystal structure of HgSe2Br. Source: Alexandria, functional PBE.

Lattice parameters (Å, degrees): 8.438 8.438 4.204 95.77 95.77 28.57
Fractional coordinates of all 4 atoms:
Hg 0.000 0.000 0.000
Se 0.269 0.269 0.890
Se 0.731 0.731 0.110
Br 0.500 0.500 0.500

Results
The formation energy without anion corrections is 0.03 eV per atom. For the volume, the calculation gives 35.6 A^3/atom. The calculation puts the density of states at the Fermi level at 1.07 states/eV per cell. The energy above the most stable polymorph in this dataset is 111 meV/atom. The symmetry is C2/m. As for the total DFT energy (no corrections): -8.829 eV/cell. The total magnetic moment comes out at 0.00 μB per atom.

=====

What did the second record say?
An optimized crystal structure of HgSe2Br. Source: Alexandria, functional PBE.

Lattice parameters (Å, degrees): 8.438 8.438 4.204 95.77 95.77 28.57
Fractional coordinates of all 4 atoms:
Hg 0.000 0.000 0.000
Se 0.269 0.269 0.890
Se 0.731 0.731 0.110
Br 0.500 0.500 0.500

Results
The formation energy without anion corrections is 0.03 eV per atom. For the volume, the calculation gives 35.6 A^3/atom. The calculation puts the density of states at the Fermi level at 1.07 states/eV per cell. The energy above the most stable polymorph in this dataset is 111 meV/atom. The symmetry is C2/m. As for the total DFT energy (no corrections): -8.829 eV/cell. The total magnetic moment comes out at 0.00 μB per atom.

=====

What did the second record say?
An optimized crystal structure of HgSe2Br. Source: Alexandria, functional PBE.

Lattice parameters (Å, degrees): 8.438 8.438 4.204 95.77 95.77 28.57
Fractional coordinates of all 4 atoms:
Hg 0.000 0.000 0.000
Se 0.269 0.269 0.890
Se 0.731 0.731 0.110
Br 0.500 0.500 0.500

Results
The formation energy without anion corrections is 0.03 eV per atom. For the volume, the calculation gives 35.6 A^3/atom. The calculation puts the density of states at the Fermi level at 1.07 states/eV per cell. The energy above the most stable polymorph in this dataset is 111 meV/atom. The symmetry is C2/m. As for the total DFT energy (no corrections): -8.829 eV/cell. The total magnetic moment comes out at 0.00 μB per atom.

=====

- What is the total DFT energy (no corrections) in the first record?
  -8.706 eV/cell